## a
Here is a relaxed LaPrGa2 crystal from OQMD via LeMat-Bulk. Energies are from GGA-PBE.

Output
The calculation puts the total moment at 0.001 μB per atom.

abc: 5.962 5.777 5.987
angles: 90.00 100.67 90.00
Sites, in units of the cell vectors:
La 0.344 0.750 0.983
La 0.656 0.250 0.017
Pr 0.016 0.250 0.659
Ga 0.810 0.750 0.805
Ga 0.500 0.500 0.500
Ga 0.190 0.250 0.195
Pr 0.984 0.750 0.341
Ga 0.500 0.000 0.500



## b
Here is a relaxed LaPrGa2 crystal from OQMD via LeMat-Bulk. Energies are from GGA-PBE.

Output
The calculation puts the total moment at 0.009 μB per atom.

abc: 4.218 6.158 6.158
angles: 42.97 90.00 90.00
Sites, in units of the cell vectors:
Pr 0.000 0.642 0.642
La 0.500 0.356 0.356
Ga 0.000 0.933 0.933
Ga 0.500 0.070 0.070



If we sort the structures by their calculated energies, the order from most to least stable is b, a.



## a
Here is a relaxed LaGaSiPt2 crystal from OQMD via LeMat-Bulk. Energies are from GGA-PBE.

Output
The calculation puts the total moment at 0.001 μB per atom.

abc: 4.359 4.359 10.098
angles: 90.00 90.00 90.00
Sites, in units of the cell vectors:
Ga 0.000 0.500 0.134
La 0.000 0.500 0.741
Si 0.000 0.000 0.500
Pt 0.000 0.000 0.000
Pt 0.000 0.500 0.387
Ga 0.500 0.000 0.866
La 0.500 0.000 0.259
Pt 0.500 0.500 0.000
Pt 0.500 0.000 0.613
Si 0.500 0.500 0.500



## b
Here is a relaxed LaGaSiPt2 crystal from OQMD via LeMat-Bulk. Energies are from GGA-PBE.

Output
The calculation puts the total moment at 0.000 μB per atom.

abc: 4.327 4.327 10.209
angles: 90.00 90.00 90.00
Sites, in units of the cell vectors:
Si 0.000 0.500 0.877
Pt 0.500 0.500 0.000
Pt 0.000 0.500 0.642
La 0.500 0.000 0.748
Si 0.500 0.000 0.123
La 0.000 0.500 0.252
Pt 0.000 0.000 0.000
Ga 0.000 0.000 0.500
Pt 0.500 0.000 0.358
Ga 0.500 0.500 0.500



If we sort the structures by their calculated energies, the order from most to least stable is b, a.



## a
Here is a relaxed LiLuGa crystal from OQMD via LeMat-Bulk. Energies are from GGA-PBE.

Output
The calculation puts the total moment at 0.001 μB per atom.

abc: 4.443 4.443 4.443
angles: 60.00 60.00 60.00
Sites, in units of the cell vectors:
Li 0.000 0.000 0.000
Ga 0.250 0.250 0.250
Lu 0.750 0.750 0.750



## b
Here is a relaxed LiLuGa crystal from OQMD via LeMat-Bulk. Energies are from GGA-PBE.

Output
The calculation puts the total moment at 0.219 μB per atom.

abc: 4.703 4.703 4.703
angles: 60.00 60.00 60.00
Sites, in units of the cell vectors:
Ga 0.250 0.250 0.250
Lu 0.000 0.000 0.000
Li 0.750 0.750 0.750



If we sort the structures by their calculated energies, the order from most to least stable is a, b.



## a
Here is a relaxed LiLuGaNi crystal from OQMD via LeMat-Bulk. Energies are from GGA-PBE.

Output
The calculation puts the total moment at 0.000 μB per atom.

abc: 4.512 4.512 4.512
angles: 60.00 60.00 60.00
Sites, in units of the cell vectors:
Li 0.500 0.500 0.500
Lu 0.250 0.250 0.250
Ga 0.000 0.000 0.000
Ni 0.750 0.750 0.750



## b
Here is a relaxed LiLuGaNi crystal from OQMD via LeMat-Bulk. Energies are from GGA-PBE.

Output
The calculation puts the total moment at 0.000 μB per atom.

abc: 4.451 4.451 4.451
angles: 60.00 60.00 60.00
Sites, in units of the cell vectors:
Li 0.250 0.250 0.250
Ni 0.750 0.750 0.750
Lu 0.500 0.500 0.500
Ga 0.000 0.000 0.000



If we sort the structures by their calculated energies, the order from most to least stable is b, a.



## a
Here is a relaxed LiGaNiMo crystal from OQMD via LeMat-Bulk. Energies are from GGA-PBE.

Output
The calculation puts the total moment at 0.526 μB per atom.

abc: 4.233 4.233 4.233
angles: 60.00 60.00 60.00
Sites, in units of the cell vectors:
Mo 0.250 0.250 0.250
Li 0.500 0.500 0.500
Ga 0.000 0.000 0.000
Ni 0.750 0.750 0.750



## b
Here is a relaxed LiGaNiMo crystal from OQMD via LeMat-Bulk. Energies are from GGA-PBE.

Output
The calculation puts the total moment at 0.500 μB per atom.

abc: 4.188 4.188 4.188
angles: 60.00 60.00 60.00
Sites, in units of the cell vectors:
Ni 0.750 0.750 0.750
Mo 0.500 0.500 0.500
Ga 0.000 0.000 0.000
Li 0.250 0.250 0.250



If we sort the structures by their calculated energies, the order from most to least stable is b, a.



## a
Here is a relaxed LiNbGaOs crystal from OQMD via LeMat-Bulk. Energies are from GGA-PBE.

Output
The calculation puts the total moment at 0.000 μB per atom.

abc: 4.330 4.330 4.330
angles: 60.00 60.00 60.00
Sites, in units of the cell vectors:
Os 0.000 0.000 0.000
Nb 0.500 0.500 0.500
Ga 0.250 0.250 0.250
Li 0.750 0.750 0.750



## b
Here is a relaxed LiNbGaOs crystal from OQMD via LeMat-Bulk. Energies are from GGA-PBE.

Output
The calculation puts the total moment at 0.001 μB per atom.

abc: 4.367 4.367 4.367
angles: 60.00 60.00 60.00
Sites, in units of the cell vectors:
Os 0.250 0.250 0.250
Nb 0.000 0.000 0.000
Li 0.750 0.750 0.750
Ga 0.500 0.500 0.500



If we sort the structures by their calculated energies, the order from most to least stable is b, a.



## a
Here is a relaxed LiTaGaNi crystal from OQMD via LeMat-Bulk. Energies are from GGA-PBE.

Output
The calculation puts the total moment at 0.000 μB per atom.

abc: 4.224 4.224 4.224
angles: 60.00 60.00 60.00
Sites, in units of the cell vectors:
Li 0.250 0.250 0.250
Ni 0.750 0.750 0.750
Ta 0.500 0.500 0.500
Ga 0.000 0.000 0.000



## b
Here is a relaxed LiTaGaNi crystal from OQMD via LeMat-Bulk. Energies are from GGA-PBE.

Output
The calculation puts the total moment at 0.237 μB per atom.

abc: 4.272 4.272 4.272
angles: 60.00 60.00 60.00
Sites, in units of the cell vectors:
Ga 0.000 0.000 0.000
Li 0.500 0.500 0.500
Ta 0.250 0.250 0.250
Ni 0.750 0.750 0.750



If we sort the structures by their calculated energies, the order from most to least stable is a, b.



## a
Here is a relaxed LiZrGaNi crystal from OQMD via LeMat-Bulk. Energies are from GGA-PBE.

Output
The calculation puts the total moment at 0.001 μB per atom.

abc: 4.378 4.378 4.378
angles: 60.00 60.00 60.00
Sites, in units of the cell vectors:
Ga 0.250 0.250 0.250
Ni 0.500 0.500 0.500
Zr 0.000 0.000 0.000
Li 0.750 0.750 0.750



## b
Here is a relaxed LiZrGaNi crystal from OQMD via LeMat-Bulk. Energies are from GGA-PBE.

Output
The calculation puts the total moment at 0.001 μB per atom.

abc: 4.444 4.444 4.444
angles: 60.00 60.00 60.00
Sites, in units of the cell vectors:
Ni 0.500 0.500 0.500
Ga 0.000 0.000 0.000
Li 0.750 0.750 0.750
Zr 0.250 0.250 0.250



## c
Here is a relaxed LiZrGaNi crystal from OQMD via LeMat-Bulk. Energies are from GGA-PBE.

Output
The calculation puts the total moment at 0.000 μB per atom.

abc: 4.318 4.318 6.107
angles: 90.00 90.00 90.00
Sites, in units of the cell vectors:
Li 0.500 0.000 0.750
Zr 0.500 0.500 0.500
Li 0.000 0.500 0.250
Zr 0.000 0.000 0.000
Ni 0.500 0.000 0.249
Ga 0.500 0.500 0.000
Ga 0.000 0.000 0.500
Ni 0.000 0.500 0.751



If we sort the structures by their calculated energies, the order from most to least stable is c, b, a.